This record from the Alexandria database describes CoReOsSeO after structural relaxation. The functional is GGA+U.

Space-group type   Pm (6)
Energy   -7.441 eV/atom
Total moment   2.1 μB/f.u.

Unit cell a=3.9079 b=3.0338 c=8.2859 alpha=90.00 beta=94.45 gamma=90.00
Last column: nearest neighbours and their distance in Å.
Fractional coordinates of all 5 atoms:
Co (0.0000, 0.0000, 0.0000)  2 Se 2.48, 2 Os 2.63
Re (0.0221, 0.5000, 0.3045)  2 O 1.89
Os (0.4942, 0.5000, 0.1331)  2 Re 2.41, 1 Se 2.52, 2 Co 2.63
Se (0.6074, 0.5000, 0.8374)  2 Co 2.48, 1 Os 2.52
O (0.0401, 0.0000, 0.4407)  2 Re 1.89